# La2MnOsN

A geometry-optimized La2MnOsN structure (PBEsol, the Alexandria database).

abc: 3.4933 5.2074 5.2074
angles: 90.00 90.00 90.00
Closest atoms and distances in Å follow each position.
Positions (direct):
N (0.5000, 0.0000, 0.0000)  2 Mn 1.75
Mn (0.0000, 0.0000, 0.0000)  2 N 1.75
Os (0.5000, 0.5000, 0.5000)  8 La 3.14, 2 Os 3.49
La (0.0000, 0.0000, 0.5000)  2 Mn 2.60
La (0.0000, 0.5000, 0.0000)  2 Mn 2.60

Formation energy without anion corrections = 238.3 meV per atom
N(E_F) = 5.0 states/eV/f.u.

=====

# Na4VO4

A geometry-optimized Na4VO4 structure (PBEsol, the Alexandria database).

abc: 5.7264 5.7343 8.6608
angles: 80.88 70.43 68.63
Closest atoms and distances in Å follow each position.
Positions (direct):
Na (0.4749, 0.7372, 0.5681)  5 O 2.39-2.47
Na (0.9487, 0.2384, 0.6046)  5 O 2.36-2.48
Na (0.5251, 0.2628, 0.4319)  5 O 2.39-2.47
Na (0.0513, 0.7616, 0.3954)  5 O 2.36-2.48
Na (0.6148, 0.7299, 0.1812)  4 O 2.33-2.39
Na (0.7591, 0.2425, 0.0119)  4 O 2.30-2.36
Na (0.2409, 0.7575, 0.9881)  4 O 2.30-2.36
Na (0.3852, 0.2701, 0.8188)  4 O 2.33-2.39
V (0.1565, 0.2795, 0.2440)  4 O 1.76-1.80
V (0.8435, 0.7205, 0.7560)  4 O 1.76-1.80
O (0.7021, 0.9715, 0.6276)  1 V 1.79
O (0.1593, 0.5274, 0.6390)  1 V 1.79
O (0.8407, 0.4726, 0.3610)  1 V 1.79
O (0.2979, 0.0285, 0.3724)  1 V 1.79
O (0.3619, 0.4702, 0.1980)  1 V 1.80
O (0.1435, 0.1555, 0.0749)  1 V 1.76
O (0.6381, 0.5298, 0.8020)  1 V 1.80
O (0.8565, 0.8445, 0.9251)  1 V 1.76

Formation energy without anion corrections = -1858.5 meV per atom
N(E_F) = 4.5 states/eV/f.u.

=====

# CdHg2

A geometry-optimized CdHg2 structure (PBEsol, the Alexandria database).

abc: 5.0737 5.0737 6.1562
angles: 90.00 90.00 120.00
Closest atoms and distances in Å follow each position.
Positions (direct):
Hg (0.0000, 0.0000, 0.0000)  8 Hg 3.08-3.31, 6 Cd 3.31
Hg (0.0000, 0.0000, 0.5000)  8 Hg 3.08-3.31, 6 Cd 3.31
Hg (0.6667, 0.3333, 0.2500)  5 Cd 2.93-3.08
Hg (0.3333, 0.6667, 0.7500)  5 Cd 2.93-3.08
Cd (0.6667, 0.3333, 0.7500)  5 Hg 2.93-3.08
Cd (0.3333, 0.6667, 0.2500)  5 Hg 2.93-3.08

Energy above the lowest structure with this stoichiometry = 37.0 meV/atom
ΔH_f (0 K) = 0.0289 eV/atom
N(E_F) = 1.1 states/eV/f.u.

=====

# K2MnF4

A geometry-optimized K2MnF4 structure (PBEsol, the Alexandria database).

abc: 4.1650 4.1650 7.1891
angles: 106.84 106.84 90.00
Closest atoms and distances in Å follow each position.
Positions (direct):
K (0.3548, 0.3548, 0.7096)  5 F 2.56-2.82
K (0.6452, 0.6452, 0.2904)  5 F 2.56-2.82
Mn (0.0000, 0.0000, 0.0000)  6 F 2.08-2.09
F (0.0000, 0.5000, 0.0000)  2 Mn 2.08
F (0.5000, 0.0000, 0.0000)  2 Mn 2.08
F (0.1596, 0.1596, 0.3192)  1 Mn 2.09
F (0.8404, 0.8404, 0.6808)  1 Mn 2.09

Formation energy without anion corrections = -2580.2 meV per atom

=====

# Sr2TaMo

A geometry-optimized Sr2TaMo structure (PBEsol, the Alexandria database).

abc: 5.3271 5.3271 5.3271
angles: 60.00 60.00 60.00
Closest atoms and distances in Å follow each position.
Positions (direct):
Mo (0.0000, 0.0000, 0.0000)  8 Sr 3.26
Sr (0.2500, 0.2500, 0.2500)  4 Ta 3.26, 4 Mo 3.26
Sr (0.7500, 0.7500, 0.7500)  4 Mo 3.26, 4 Ta 3.26
Ta (0.5000, 0.5000, 0.5000)  8 Sr 3.26

Energy above the lowest structure with this stoichiometry = 890.6 meV/atom
ΔH_f (0 K) = 1.6260 eV/atom
N(E_F) = 4.4 states/eV/f.u.

=====

# LiSnTe2

A geometry-optimized LiSnTe2 structure (PBEsol, the Alexandria database).

abc: 4.2938 4.2938 8.9638
angles: 76.14 76.14 60.00
Closest atoms and distances in Å follow each position.
Positions (direct):
Te (0.8992, 0.8992, 0.3023)  1 Li 2.60
Te (0.1008, 0.1008, 0.6977)  1 Li 2.60
Sn (0.5000, 0.5000, 0.5000)  6 Te 3.01
Li (0.0000, 0.0000, 0.0000)  2 Te 2.60

Formation energy without anion corrections = -282.4 meV per atom
N(E_F) = 2.0 states/eV/f.u.

=====

# Te2PdCI

A geometry-optimized Te2PdCI structure (PBEsol, the Alexandria database).

abc: 5.1975 5.1975 5.3215
angles: 90.00 90.00 90.00
Closest atoms and distances in Å follow each position.
Positions (direct):
I (0.0000, 0.0000, 0.5000)  2 Pd 2.66
C (0.5000, 0.5000, 0.5000)  4 I 3.68, 8 Te 3.72
Te (0.0000, 0.5000, 0.0000)  2 Pd 2.60
Te (0.5000, 0.0000, 0.0000)  2 Pd 2.60
Pd (0.0000, 0.0000, 0.0000)  4 Te 2.60, 2 I 2.66

Formation energy without anion corrections = 1672.4 meV per atom
N(E_F) = 6.4 states/eV/f.u.

=====

# BaFe2Co

A geometry-optimized BaFe2Co structure (PBEsol, the Alexandria database).

abc: 3.0890 3.1067 7.2863
angles: 90.00 90.00 90.00
Closest atoms and distances in Å follow each position.
Positions (direct):
Ba (0.5000, 0.5000, 0.0000)  4 Ba 3.09-3.11, 8 Fe 3.35
Co (0.5000, 0.5000, 0.5000)  8 Fe 2.46
Fe (0.0000, 0.0000, 0.6529)  1 Fe 2.23, 4 Co 2.46
Fe (0.0000, 0.0000, 0.3471)  1 Fe 2.23, 4 Co 2.46

Energy above the lowest structure with this stoichiometry = 23.7 meV/atom
ΔH_f (0 K) = 0.6251 eV/atom
N(E_F) = 4.3 states/eV/f.u.

=====

# Np2SO9

A geometry-optimized Np2SO9 structure (PBEsol, the Alexandria database).

abc: 6.4719 6.8382 15.6855
angles: 90.00 90.00 90.00
Closest atoms and distances in Å follow each position.
Positions (direct):
Np (0.3143, 0.2500, 0.3949)  2 O 1.83-1.84
Np (0.1857, 0.2500, 0.8949)  2 O 1.83-1.84
Np (0.6857, 0.7500, 0.6051)  2 O 1.83-1.84
Np (0.8143, 0.7500, 0.1051)  2 O 1.83-1.84
Np (0.0312, 0.2500, 0.1537)  3 O 1.83-1.90
Np (0.4688, 0.2500, 0.6537)  3 O 1.83-1.90
Np (0.9688, 0.7500, 0.8463)  3 O 1.83-1.90
Np (0.5312, 0.7500, 0.3463)  3 O 1.83-1.90
S (0.9319, 0.2500, 0.5625)  4 O 1.47-1.49
S (0.5681, 0.2500, 0.0625)  4 O 1.47-1.49
S (0.0681, 0.7500, 0.4375)  4 O 1.47-1.49
S (0.4319, 0.7500, 0.9375)  4 O 1.47-1.49
O (0.4276, 0.2500, 0.5024)  1 Np 1.84
O (0.0724, 0.2500, 0.0024)  1 Np 1.84
O (0.5724, 0.7500, 0.4976)  1 Np 1.84
O (0.9276, 0.7500, 0.9976)  1 Np 1.84
O (0.2064, 0.2500, 0.2873)  1 Np 1.83
O (0.2936, 0.2500, 0.7873)  1 Np 1.83
O (0.7936, 0.7500, 0.7127)  1 Np 1.83
O (0.7064, 0.7500, 0.2127)  1 Np 1.83
O (0.0532, 0.5267, 0.1486)  1 Np 1.90
O (0.4468, 0.9733, 0.6486)  1 Np 1.90
O (0.9468, 0.0267, 0.8514)  1 Np 1.90
O (0.5532, 0.4733, 0.3514)  1 Np 1.90
O (0.9468, 0.4733, 0.8514)  1 Np 1.90
O (0.5532, 0.0267, 0.3514)  1 Np 1.90
O (0.0532, 0.9733, 0.1486)  1 Np 1.90
O (0.4468, 0.5267, 0.6486)  1 Np 1.90
O (0.9947, 0.2500, 0.4725)  1 S 1.47
O (0.5053, 0.2500, 0.9725)  1 S 1.47
O (0.0053, 0.7500, 0.5275)  1 S 1.47
O (0.4947, 0.7500, 0.0275)  1 S 1.47
O (0.7952, 0.4210, 0.5802)  1 S 1.49
O (0.7048, 0.0790, 0.0802)  1 S 1.49
O (0.2048, 0.9210, 0.4198)  1 S 1.49
O (0.2952, 0.5790, 0.9198)  1 S 1.49
O (0.2048, 0.5790, 0.4198)  1 S 1.49
O (0.2952, 0.9210, 0.9198)  1 S 1.49
O (0.7952, 0.0790, 0.5802)  1 S 1.49
O (0.7048, 0.4210, 0.0802)  1 S 1.49
O (0.1106, 0.2500, 0.6204)  1 S 1.47
O (0.3894, 0.2500, 0.1204)  1 S 1.47
O (0.8894, 0.7500, 0.3796)  1 S 1.47
O (0.6106, 0.7500, 0.8796)  1 S 1.47
O (0.8229, 0.2500, 0.2324)  1 Np 1.83
O (0.6771, 0.2500, 0.7324)  1 Np 1.83
O (0.1771, 0.7500, 0.7676)  1 Np 1.83
O (0.3229, 0.7500, 0.2676)  1 Np 1.83

Formation energy without anion corrections = -2146.7 meV per atom
N(E_F) = 9.5 states/eV/f.u.

=====

# RbTi3F

A geometry-optimized RbTi3F structure (PBEsol, the Alexandria database).

abc: 4.4741 4.4741 4.4741
angles: 90.00 90.00 90.00
Closest atoms and distances in Å follow each position.
Positions (direct):
F (0.0000, 0.0000, 0.0000)  6 Ti 2.24
Rb (0.5000, 0.5000, 0.5000)  12 Ti 3.16
Ti (0.0000, 0.5000, 0.0000)  2 F 2.24
Ti (0.0000, 0.0000, 0.5000)  2 F 2.24
Ti (0.5000, 0.0000, 0.0000)  2 F 2.24

Energy above the lowest structure with this stoichiometry = 0.0 meV/atom
Formation energy without anion corrections = 448.5 meV per atom
N(E_F) = 6.2 states/eV/f.u.

=====

# LiMnPO4

A geometry-optimized LiMnPO4 structure (PBEsol, the Alexandria database).

abc: 4.3467 4.7786 14.2317
angles: 90.00 90.00 90.00
Closest atoms and distances in Å follow each position.
Positions (direct):
Li (0.0000, 0.2500, 0.7518)  4 O 1.94-2.00
Li (0.0000, 0.7500, 0.2482)  4 O 1.94-2.00
Li (0.5000, 0.7500, 0.7482)  4 O 1.94-2.00
Li (0.5000, 0.2500, 0.2518)  4 O 1.94-2.00
Mn (0.0000, 0.2500, 0.0730)  2 O 2.00
Mn (0.5000, 0.7500, 0.4270)  2 O 2.00
Mn (0.0000, 0.7500, 0.9270)  2 O 2.00
Mn (0.5000, 0.2500, 0.5730)  2 O 2.00
P (0.0000, 0.7500, 0.6136)  4 O 1.55-1.56
P (0.0000, 0.2500, 0.3864)  4 O 1.55-1.56
P (0.5000, 0.7500, 0.1136)  4 O 1.55-1.56
P (0.5000, 0.2500, 0.8864)  4 O 1.55-1.56
O (0.8148, 0.5373, 0.6744)  1 P 1.56
O (0.8148, 0.0373, 0.3256)  1 P 1.56
O (0.6852, 0.0373, 0.8256)  1 P 1.56
O (0.6852, 0.5373, 0.1744)  1 P 1.56
O (0.3148, 0.4627, 0.8256)  1 P 1.56
O (0.3148, 0.9627, 0.1744)  1 P 1.56
O (0.1852, 0.9627, 0.6744)  1 P 1.56
O (0.1852, 0.4627, 0.3256)  1 P 1.56
O (0.7361, 0.4116, 0.9469)  1 P 1.55
O (0.7361, 0.9116, 0.0531)  1 P 1.55
O (0.7639, 0.9116, 0.5531)  1 P 1.55
O (0.7639, 0.4116, 0.4469)  1 P 1.55
O (0.2361, 0.0884, 0.4469)  1 P 1.55
O (0.2361, 0.5884, 0.5531)  1 P 1.55
O (0.2639, 0.0884, 0.9469)  1 P 1.55
O (0.2639, 0.5884, 0.0531)  1 P 1.55

Energy above the lowest structure with this stoichiometry = 34.5 meV/atom
Formation energy without anion corrections = -2038.0 meV per atom
N(E_F) = 0.0 states/eV/f.u.

=====

# NbSi2PtSe

A geometry-optimized NbSi2PtSe structure (PBEsol, the Alexandria database).

abc: 4.7701 4.8095 4.8095
angles: 90.00 90.00 90.00
Closest atoms and distances in Å follow each position.
Positions (direct):
Nb (0.0000, 0.0000, 0.0000)  2 Se 2.39, 4 Si 2.40
Si (0.0000, 0.0000, 0.5000)  2 Nb 2.40
Si (0.0000, 0.5000, 0.0000)  2 Nb 2.40
Se (0.5000, 0.0000, 0.0000)  2 Nb 2.39
Pt (0.5000, 0.5000, 0.5000)  8 Si 3.39, 4 Se 3.40

Formation energy without anion corrections = 963.5 meV per atom
N(E_F) = 4.6 states/eV/f.u.

=====

# Ba2YRe

A geometry-optimized Ba2YRe structure (PBEsol, the Alexandria database).

abc: 3.5809 3.5809 11.2805
angles: 80.87 80.87 60.00
Closest atoms and distances in Å follow each position.
Positions (direct):
Ba (0.2347, 0.2347, 0.2958)  3 Re 3.07
Ba (0.7653, 0.7653, 0.7042)  3 Re 3.07
Re (0.5000, 0.5000, 0.5000)  6 Ba 3.07
Y (0.0000, 0.0000, 0.0000)  6 Y 3.58, 6 Ba 3.88

Energy above the lowest structure with this stoichiometry = 73.7 meV/atom
ΔH_f (0 K) = 1.1156 eV/atom
N(E_F) = 5.6 states/eV/f.u.

=====

# Zr2BeTc

A geometry-optimized Zr2BeTc structure (PBEsol, the Alexandria database).

abc: 3.2879 4.4794 4.4794
angles: 90.00 90.00 90.00
Closest atoms and distances in Å follow each position.
Positions (direct):
Be (0.5000, 0.5000, 0.5000)  8 Zr 2.78
Tc (0.5000, 0.0000, 0.0000)  8 Zr 2.78
Zr (0.0000, 0.0000, 0.5000)  4 Tc 2.78, 4 Be 2.78
Zr (0.0000, 0.5000, 0.0000)  4 Tc 2.78, 4 Be 2.78

ΔH_f (0 K) = -0.2151 eV/atom
N(E_F) = 2.7 states/eV/f.u.

=====

# PbF2

A geometry-optimized PbF2 structure (PBEsol, the Alexandria database).

abc: 3.8513 6.3857 7.6365
angles: 90.00 90.00 90.00
Closest atoms and distances in Å follow each position.
Positions (direct):
F (0.7500, 0.6409, 0.5671)  4 Pb 2.45-2.58
F (0.2500, 0.8591, 0.0671)  4 Pb 2.45-2.58
F (0.2500, 0.3591, 0.4329)  4 Pb 2.45-2.58
F (0.7500, 0.1409, 0.9329)  4 Pb 2.45-2.58
F (0.7500, 0.0241, 0.3465)  3 Pb 2.43-2.60
F (0.2500, 0.4759, 0.8465)  3 Pb 2.43-2.60
F (0.2500, 0.9759, 0.6535)  3 Pb 2.43-2.60
F (0.7500, 0.5241, 0.1535)  3 Pb 2.43-2.60
Pb (0.7500, 0.2440, 0.6057)  7 F 2.43-2.60
Pb (0.2500, 0.2560, 0.1057)  7 F 2.43-2.60
Pb (0.2500, 0.7560, 0.3943)  7 F 2.43-2.60
Pb (0.7500, 0.7440, 0.8943)  7 F 2.43-2.60

Formation energy without anion corrections = -2347.9 meV per atom
N(E_F) = 0.0 states/eV/f.u.

=====

# Tc2BBr

A geometry-optimized Tc2BBr structure (PBEsol, the Alexandria database).

abc: 4.1208 4.1208 4.1208
angles: 60.00 60.00 60.00
Closest atoms and distances in Å follow each position.
Positions (direct):
B (0.0000, 0.0000, 0.0000)  8 Tc 2.52
Tc (0.2500, 0.2500, 0.2500)  4 Br 2.52, 4 B 2.52
Tc (0.7500, 0.7500, 0.7500)  4 Br 2.52, 4 B 2.52
Br (0.5000, 0.5000, 0.5000)  8 Tc 2.52

Formation energy without anion corrections = 835.4 meV per atom
N(E_F) = 2.4 states/eV/f.u.

=====

# FeP2SCl

A geometry-optimized FeP2SCl structure (PBEsol, the Alexandria database).

abc: 4.4874 4.4874 4.5154
angles: 90.00 90.00 90.00
Closest atoms and distances in Å follow each position.
Positions (direct):
P (0.0000, 0.5000, 0.0000)  2 S 2.24
P (0.5000, 0.0000, 0.0000)  2 S 2.24
S (0.0000, 0.0000, 0.0000)  4 P 2.24, 2 Cl 2.26
Fe (0.5000, 0.5000, 0.5000)  4 Cl 3.17, 8 P 3.18
Cl (0.0000, 0.0000, 0.5000)  2 S 2.26

Formation energy without anion corrections = 1095.1 meV per atom
N(E_F) = 5.7 states/eV/f.u.

=====

# BaAl2Rh

A geometry-optimized BaAl2Rh structure (PBEsol, the Alexandria database).

abc: 4.9063 4.9063 4.9063
angles: 60.00 60.00 60.00
Closest atoms and distances in Å follow each position.
Positions (direct):
Rh (0.2500, 0.2500, 0.2500)  4 Ba 3.00, 4 Al 3.00
Ba (0.5000, 0.5000, 0.5000)  4 Al 3.00, 4 Rh 3.00
Al (0.0000, 0.0000, 0.0000)  4 Rh 3.00, 4 Al 3.00
Al (0.7500, 0.7500, 0.7500)  4 Ba 3.00, 4 Al 3.00

ΔH_f (0 K) = 0.1642 eV/atom
N(E_F) = 2.9 states/eV/f.u.

=====

# TaAl2Tc

A geometry-optimized TaAl2Tc structure (PBEsol, the Alexandria database).

abc: 3.2984 4.3350 5.0719
angles: 115.30 108.98 90.00
Closest atoms and distances in Å follow each position.
Positions (direct):
Al (0.9885, 0.9885, 0.9771)  2 Tc 2.66, 4 Ta 2.73, 4 Al 2.79-2.97
Al (0.7518, 0.2518, 0.5037)  4 Tc 2.72, 4 Ta 2.79-2.97, 4 Al 2.79-2.97
Tc (0.2453, 0.7453, 0.4907)  2 Ta 2.57, 6 Al 2.66-2.72
Ta (0.5143, 0.5143, 0.0286)  2 Tc 2.57, 6 Al 2.73-2.79

Energy above the lowest structure with this stoichiometry = 121.0 meV/atom
ΔH_f (0 K) = -0.2435 eV/atom
N(E_F) = 2.3 states/eV/f.u.

=====

# LaScNiRh2

A geometry-optimized LaScNiRh2 structure (PBEsol, the Alexandria database).

abc: 4.6449 4.8254 4.8254
angles: 90.00 90.00 90.00
Closest atoms and distances in Å follow each position.
Positions (direct):
Sc (0.5000, 0.5000, 0.5000)  8 Rh 3.35, 4 Ni 3.41
Ni (0.5000, 0.0000, 0.0000)  2 La 2.32
Rh (0.0000, 0.0000, 0.5000)  2 La 2.41
Rh (0.0000, 0.5000, 0.0000)  2 La 2.41
La (0.0000, 0.0000, 0.0000)  2 Ni 2.32, 4 Rh 2.41

ΔH_f (0 K) = 0.7652 eV/atom
N(E_F) = 4.9 states/eV/f.u.

=====

no.,calculated volume (A^3/atom),total magnetic moment (Bohr magnetons per cell)
1,18.9,0.00
2,13.9,1.77
3,22.9,0.00
4,16.3,5.00
5,26.7,0.01
6,34.4,0.00
7,28.8,0.96
8,17.5,6.73
9,14.5,8.00
10,17.9,0.01
11,10.6,20.00
12,22.1,0.00
13,30.8,0.00
14,16.5,0.00
15,15.7,0.00
16,12.4,0.00
17,18.2,3.87
18,20.9,0.00
19,15.3,0.00
20,21.6,0.00